[1]
Density functional theory data (PBE) for BiBH2Os after structural relaxation.

abc: 3.7000 3.7000 5.4894
angles: 90.00 90.00 90.00
Closest atoms and distances in Å follow each position.
Atoms (fractional coordinates):
Bi: 0.0000 0.0000 0.0000  4 Os 2.62, 2 B 2.74
B: 0.0000 0.0000 0.5000  4 H 1.85
H: 0.0000 0.5000 0.5000  2 B 1.85
H: 0.5000 0.0000 0.5000  2 B 1.85
Os: 0.5000 0.5000 0.0000  4 Bi 2.62

Results
- raw total energy (eV per atom) = -3.936
- SG = P4/mmm, No. 123

=====

[2]
Density functional theory data (PBE) for Gd2HfMg after structural relaxation.

abc: 3.3969 3.3969 9.4436
angles: 90.00 90.00 90.00
Closest atoms and distances in Å follow each position.
Atoms (fractional coordinates):
Gd: 0.0000 0.0000 0.2414  4 Hf 3.31, 4 Gd 3.40, 4 Mg 3.43
Gd: 0.0000 0.0000 0.7586  4 Hf 3.31, 4 Gd 3.40, 4 Mg 3.43
Hf: 0.5000 0.5000 0.0000  8 Gd 3.31, 4 Hf 3.40
Mg: 0.5000 0.5000 0.5000  4 Mg 3.40, 8 Gd 3.43

Results
- raw total energy (eV per atom) = -9.905
- ΔE to the lowest computed polymorph (meV/atom) = 0
- SG = P4/mmm, No. 123
- energy of formation (eV per atom) = 0.02

=====

[3]
Density functional theory data (PBE) for Y5ZnFe2 after structural relaxation.

abc: 8.7467 8.7467 8.7467
angles: 129.63 129.63 74.00
Closest atoms and distances in Å follow each position.
Atoms (fractional coordinates):
Y: 0.0000 0.0000 0.0000  4 Fe 3.04, 8 Y 3.38
Y: 0.0334 0.5334 0.8467  3 Fe 2.90-3.03, 2 Zn 3.15
Y: 0.1867 0.0334 0.5000  3 Fe 2.90-3.03, 2 Zn 3.15
Y: 0.3133 0.8133 0.8467  3 Fe 2.90-3.03, 2 Zn 3.15
Y: 0.4666 0.3133 0.5000  3 Fe 2.90-3.03, 2 Zn 3.15
Y: 0.5000 0.5000 0.0000  4 Fe 3.04, 8 Y 3.38
Y: 0.5334 0.6867 0.5000  3 Fe 2.90-3.03, 2 Zn 3.15
Y: 0.6867 0.1867 0.1533  3 Fe 2.90-3.03, 2 Zn 3.15
Y: 0.8133 0.9666 0.5000  3 Fe 2.90-3.03, 2 Zn 3.15
Y: 0.9666 0.4666 0.1533  3 Fe 2.90-3.03, 2 Zn 3.15
Zn: 0.2500 0.2500 0.0000  10 Y 3.15-3.49
Zn: 0.7500 0.7500 0.0000  10 Y 3.15-3.49
Fe: 0.1063 0.3937 0.5000  1 Fe 2.24
Fe: 0.3937 0.8937 0.2874  1 Fe 2.24
Fe: 0.6063 0.1063 0.7126  1 Fe 2.24
Fe: 0.8937 0.6063 0.5000  1 Fe 2.24

Results
- raw total energy (eV per atom) = -6.389
- SG = I4/mcm, No. 140
- energy of formation (eV per atom) = -0.07

=====

[4]
Density functional theory data (PBE) for TlSnAu after structural relaxation.

abc: 5.0475 4.9641 6.7702
angles: 90.00 95.24 90.00
Closest atoms and distances in Å follow each position.
Atoms (fractional coordinates):
Tl: 0.2393 0.0000 0.3758  1 Au 2.94
Tl: 0.7607 0.5000 0.6242  1 Au 2.94
Sn: 0.2907 0.5018 0.9992  4 Au 2.80-2.90
Sn: 0.7093 0.0018 0.0008  4 Au 2.80-2.90
Au: 0.1743 0.0015 0.8036  4 Sn 2.80-2.90, 1 Tl 2.94
Au: 0.8257 0.5015 0.1964  4 Sn 2.80-2.90, 1 Tl 2.94

Results
- raw total energy (eV per atom) = -3.282
- SG = P2_1, No. 4
- energy of formation (eV per atom) = -0.07

=====

[5]
Density functional theory data (PBE) for IrRhAu2 after structural relaxation.

abc: 4.0164 4.0164 3.9994
angles: 90.00 90.00 90.00
Closest atoms and distances in Å follow each position.
Atoms (fractional coordinates):
Ir: 0.0000 0.0000 0.0000  8 Au 2.83, 4 Rh 2.84
Rh: 0.5000 0.5000 0.0000  8 Au 2.83, 4 Ir 2.84
Au: 0.0000 0.5000 0.5000  4 Ir 2.83, 4 Rh 2.83, 4 Au 2.84
Au: 0.5000 0.0000 0.5000  4 Ir 2.83, 4 Rh 2.83, 4 Au 2.84

Results
- raw total energy (eV per atom) = -5.305
- ΔE to the lowest computed polymorph (meV/atom) = 245
- SG = P4/mmm, No. 123
- energy of formation (eV per atom) = 0.39

=====

[6]
Density functional theory data (PBE) for KMnSi2 after structural relaxation.

abc: 9.2820 9.2820 9.2820
angles: 18.42 18.42 18.42
Closest atoms and distances in Å follow each position.
Atoms (fractional coordinates):
K: 0.0000 0.0000 0.0000  6 K 2.97, 6 Si 3.32
Mn: 0.5000 0.5000 0.5000  6 Si 2.42
Si: 0.2293 0.2293 0.2293  3 Mn 2.42
Si: 0.7707 0.7707 0.7707  3 Mn 2.42

Results
- raw total energy (eV per atom) = -4.977
- ΔE to the lowest computed polymorph (meV/atom) = 225
- SG = R-3m, No. 166
- raw formation energy (eV per atom) = 0.301

=====

[7]
Density functional theory data (PBE) for ThSc2Pb after structural relaxation.

abc: 3.7137 3.7137 7.5138
angles: 90.00 90.00 90.00
Closest atoms and distances in Å follow each position.
Atoms (fractional coordinates):
Th: 0.0000 0.0000 0.0000  8 Sc 3.33, 4 Th 3.71
Sc: 0.5000 0.5000 0.2722  4 Pb 3.13, 4 Th 3.33, 1 Sc 3.42
Sc: 0.5000 0.5000 0.7278  4 Pb 3.13, 4 Th 3.33, 1 Sc 3.42
Pb: 0.0000 0.0000 0.5000  8 Sc 3.13

Results
- raw total energy (eV per atom) = -6.139
- ΔE to the lowest computed polymorph (meV/atom) = 17
- SG = P4/mmm, No. 123
- energy of formation (eV per atom) = -0.19

=====

[8]
Density functional theory data (PBE) for HfBeFe3 after structural relaxation.

abc: 3.9729 3.9729 3.9729
angles: 90.00 90.00 90.00
Closest atoms and distances in Å follow each position.
Atoms (fractional coordinates):
Hf: 0.0000 0.0000 0.0000  12 Fe 2.81
Be: 0.5000 0.5000 0.5000  6 Fe 1.99
Fe: 0.0000 0.5000 0.5000  2 Be 1.99
Fe: 0.5000 0.0000 0.5000  2 Be 1.99
Fe: 0.5000 0.5000 0.0000  2 Be 1.99

Results
- raw total energy (eV per atom) = -7.694
- ΔE to the lowest computed polymorph (meV/atom) = 0
- SG = Pm-3m, No. 221
- energy of formation (eV per atom) = 0.12

=====

[9]
Density functional theory data (PBE) for CaAc2Si3Pd12 after structural relaxation.

abc: 6.9966 6.9966 6.9966
angles: 83.91 83.91 83.91
Closest atoms and distances in Å follow each position.
Atoms (fractional coordinates):
Ca: 0.0000 0.0000 0.0000  6 Pd 2.72
Ac: 0.3676 0.3676 0.3676  3 Pd 2.70
Ac: 0.6324 0.6324 0.6324  3 Pd 2.70
Si: 0.0000 0.0000 0.5000  6 Pd 2.36-2.63
Si: 0.0000 0.5000 0.0000  6 Pd 2.36-2.63
Si: 0.5000 0.0000 0.0000  6 Pd 2.36-2.63
Pd: 0.0770 0.6394 0.6394  2 Si 2.63, 1 Pd 2.75
Pd: 0.1781 0.1781 0.6749  1 Si 2.36
Pd: 0.1781 0.6749 0.1781  1 Si 2.36
Pd: 0.3251 0.8219 0.8219  1 Si 2.36
Pd: 0.3606 0.3606 0.9230  2 Si 2.63, 1 Pd 2.75
Pd: 0.3606 0.9230 0.3606  2 Si 2.63, 1 Pd 2.75
Pd: 0.6394 0.0770 0.6394  2 Si 2.63, 1 Pd 2.75
Pd: 0.6394 0.6394 0.0770  2 Si 2.63, 1 Pd 2.75
Pd: 0.6749 0.1781 0.1781  1 Si 2.36
Pd: 0.8219 0.3251 0.8219  1 Si 2.36
Pd: 0.8219 0.8219 0.3251  1 Si 2.36
Pd: 0.9230 0.3606 0.3606  2 Si 2.63, 1 Pd 2.75

Results
- raw total energy (eV per atom) = -5.411
- SG = R-3m, No. 166
- raw formation energy (eV per atom) = -0.478

=====

[10]
Density functional theory data (PBE) for NdMg2Zn after structural relaxation.

abc: 4.4496 4.4496 4.9387
angles: 90.00 90.00 90.00
Closest atoms and distances in Å follow each position.
Atoms (fractional coordinates):
Nd: 0.0000 0.0000 0.0000  4 Zn 3.15, 8 Mg 3.32
Mg: 0.0000 0.5000 0.5000  4 Mg 3.15, 4 Zn 3.32, 4 Nd 3.32
Mg: 0.5000 0.0000 0.5000  4 Mg 3.15, 4 Zn 3.32, 4 Nd 3.32
Zn: 0.5000 0.5000 0.0000  4 Nd 3.15, 8 Mg 3.32

Results
- raw total energy (eV per atom) = -2.421
- SG = P4/mmm, No. 123
- energy of formation (eV per atom) = -0.11

=====

[11]
Density functional theory data (PBE) for RbSr2CuP after structural relaxation.

abc: 6.6219 6.6219 5.3319
angles: 90.00 90.00 90.00
Closest atoms and distances in Å follow each position.
Atoms (fractional coordinates):
Rb: 0.0000 0.0000 0.0000  2 P 2.67
Sr: 0.0000 0.5000 0.0000  2 Rb 3.31
Sr: 0.5000 0.0000 0.0000  2 Rb 3.31
Cu: 0.5000 0.5000 0.5000  8 Sr 4.25, 4 P 4.68
P: 0.0000 0.0000 0.5000  2 Rb 2.67

Results
- raw total energy (eV per atom) = -1.668
- SG = P4/mmm, No. 123
- energy of formation (eV per atom) = 1.10

=====

[12]
Density functional theory data (PBE) for FeAgOs2 after structural relaxation.

abc: 2.7494 2.7494 7.8411
angles: 90.00 90.00 90.00
Closest atoms and distances in Å follow each position.
Atoms (fractional coordinates):
Fe: 0.0000 0.0000 0.0000  4 Os 2.71, 4 Fe 2.75, 4 Ag 2.79
Ag: 0.5000 0.5000 0.7449  4 Ag 2.75, 4 Fe 2.79, 4 Os 2.94
Os: 0.0000 0.0000 0.4637  8 Os 2.61-2.75
Os: 0.5000 0.5000 0.2413  8 Os 2.61-2.75, 4 Fe 2.71

Results
- raw total energy (eV per atom) = -8.071
- ΔE to the lowest computed polymorph (meV/atom) = 24
- SG = P4mm, No. 99
- energy of formation (eV per atom) = 0.37

=====

[13]
Density functional theory data (PBE) for SrTc2Ag after structural relaxation.

abc: 3.2924 4.5356 5.1482
angles: 90.00 90.00 90.00
Closest atoms and distances in Å follow each position.
Atoms (fractional coordinates):
Sr: 0.0000 0.0000 0.0000  4 Ag 2.80, 4 Tc 3.06
Tc: 0.0000 0.5000 0.5000  4 Tc 2.80, 4 Ag 3.06
Tc: 0.5000 0.0000 0.5000  4 Tc 2.80, 4 Sr 3.06
Ag: 0.5000 0.5000 0.0000  4 Sr 2.80, 4 Tc 3.06

Results
- raw total energy (eV per atom) = -5.476
- ΔE to the lowest computed polymorph (meV/atom) = 498
- SG = Pmmm, No. 47
- energy of formation (eV per atom) = 0.84

=====

[14]
Density functional theory data (PBE) for AcCuBiAs after structural relaxation.

abc: 5.2625 5.2625 5.2625
angles: 60.00 60.00 60.00
Closest atoms and distances in Å follow each position.
Atoms (fractional coordinates):
Ac: 0.0000 0.0000 0.0000  4 As 3.22, 4 Cu 3.22
Cu: 0.2500 0.2500 0.2500  4 Ac 3.22, 4 Bi 3.22
Bi: 0.5000 0.5000 0.5000  4 As 3.22, 4 Cu 3.22
As: 0.7500 0.7500 0.7500  4 Ac 3.22, 4 Bi 3.22

Results
- raw total energy (eV per atom) = -4.472
- SG = F-43m, No. 216
- energy of formation (eV per atom) = -0.29

=====

[15]
Density functional theory data (PBE) for TlZn2Re after structural relaxation.

abc: 3.3014 3.3014 6.4385
angles: 90.00 90.00 90.00
Closest atoms and distances in Å follow each position.
Atoms (fractional coordinates):
Tl: 0.0000 0.0000 0.0000  4 Re 3.00, 5 Zn 3.04-3.07, 4 Tl 3.30
Zn: 0.0000 0.0000 0.5232  4 Re 2.62, 4 Zn 2.74
Zn: 0.5000 0.5000 0.3017  1 Re 2.61, 4 Zn 2.74
Re: 0.5000 0.5000 0.7075  5 Zn 2.61-2.62

Results
- raw total energy (eV per atom) = -3.725
- ΔE to the lowest computed polymorph (meV/atom) = 144
- SG = P4mm, No. 99
- energy of formation (eV per atom) = 0.62